Material: Tb2PaIn
Method: DFT, PBE
State: relaxed

abc: 4.871 4.871 4.574
angles: 90.00 90.00 90.00
Element x y z (fractional)
Tb 0.000 0.500 0.000
Tb 0.500 0.000 0.000
Pa 0.000 0.000 0.500
In 0.500 0.500 0.500

The calculation puts the formation energy at -44 meV per atom. The relative energy among the computed polymorphs comes out at 1.51 kcal/mol of atoms. For the raw total energy, the calculation gives -5.42 eV/atom.